CsK2Mn3P4ClO14 | PBE+U | relaxed

a = 7.757 Å, b = 5.445 Å, c = 19.345 Å
α = 90.00°, β = 100.76°, γ = 90.00°
Space group P2/c (No. 13)
One atom of each set of equivalent atoms:
Cs1 0.000 0.201 0.250
K1 0.417 0.224 0.085
Mn1 0.107 0.210 0.459
Mn2 0.500 0.282 0.750
P1 0.097 0.312 0.625
P2 0.285 0.284 0.899
Cl1 0.500 0.218 0.250
O1 0.089 0.279 0.847
O2 0.091 0.123 0.564
O3 0.100 0.423 0.098
O4 0.233 0.256 0.690
O5 0.287 0.495 0.448
O6 0.298 0.040 0.940
O7 0.416 0.303 0.850

calculated volume: 803 Å³/cell
total DFT energy (no corrections): -6.92 eV per atom
crystal system: monoclinic